1.
An optimized crystal structure of La6IrPd2N, computed with PBE.

Output
uncorrected energy = -6.471 eV/atom
raw formation energy = -0.76 eV/atom

Lattice parameters (Å, degrees): 6.876 7.613 10.483 90.00 90.45 90.00
Atoms (fractional coordinates):
N 0.000 0.500 0.000
La 0.840 0.803 0.938
La 0.371 0.962 0.739
Pd 0.949 0.102 0.756
La 0.692 0.329 0.936
Ir 0.000 0.500 0.500
La 0.340 0.697 0.438
La 0.160 0.197 0.062
Pd 0.051 0.898 0.244
La 0.808 0.829 0.564
La 0.871 0.538 0.239
La 0.308 0.671 0.064
La 0.629 0.038 0.261
Pd 0.449 0.398 0.256
Pd 0.551 0.602 0.744
Ir 0.500 0.000 0.000
La 0.192 0.171 0.436
La 0.129 0.462 0.761
N 0.500 0.000 0.500
La 0.660 0.303 0.562

=====

2.
An optimized crystal structure of AlSe3, computed with PBE.

Output
energy relative to the lowest polymorph listed for this composition = 75 meV per atom
uncorrected energy = -3.757 eV/atom
raw formation energy = -0.21 eV/atom

Lattice parameters (Å, degrees): 3.411 5.928 10.387 90.00 90.00 90.00
Atoms (fractional coordinates):
Al 0.000 0.000 0.635
Se 0.500 0.000 0.468
Se 0.000 0.301 0.197
Se 0.000 0.500 0.532
Se 0.500 0.801 0.803
Se 0.000 0.699 0.197
Se 0.500 0.199 0.803
Al 0.500 0.500 0.365

=====

3.
An optimized crystal structure of SrSO4, computed with PBE.

Output
uncorrected energy = -6.491 eV/atom
raw formation energy = -2.22 eV/atom

Lattice parameters (Å, degrees): 5.450 6.955 8.468 90.00 90.00 90.00
Atoms (fractional coordinates):
O 0.250 0.961 0.689
O 0.473 0.691 0.577
O 0.027 0.809 0.077
Sr 0.750 0.843 0.815
Sr 0.250 0.343 0.685
O 0.250 0.539 0.189
S 0.250 0.817 0.560
O 0.527 0.191 0.923
S 0.750 0.183 0.440
O 0.027 0.691 0.577
O 0.250 0.594 0.902
O 0.973 0.191 0.923
O 0.750 0.094 0.598
O 0.473 0.809 0.077
Sr 0.750 0.657 0.315
S 0.750 0.317 0.940
S 0.250 0.683 0.060
O 0.750 0.039 0.311
O 0.250 0.906 0.402
O 0.973 0.309 0.423
O 0.527 0.309 0.423
O 0.750 0.406 0.098
O 0.750 0.461 0.811
Sr 0.250 0.157 0.185

=====

4.
An optimized crystal structure of NdMgHgPd, computed with PBE.

Output
ΔE_f = -12.5 kcal/mol of atoms
uncorrected energy = -3.507 eV/atom

Lattice parameters (Å, degrees): 5.036 5.036 5.036 60.00 60.00 60.00
Atoms (fractional coordinates):
Mg 0.750 0.750 0.750
Pd 0.000 0.000 0.000
Nd 0.250 0.250 0.250
Hg 0.500 0.500 0.500

=====

no.,D(E_F) (states/eV per cell)
1,18.93
2,1.45
3,0.00
4,2.83